An optimized crystal structure of K2RbInF4, computed with GGA-PBE.

```
K2RbInF4
1.0
7.8283 0.0186 -0.0606
0.0131 7.8283 -0.0606
-3.9289 -3.9317 5.6083
K Rb In F
4 2 2 8
Direct
0.5000 0.0000 0.0000 K
0.5000 0.0000 0.5000 K
0.0000 0.0000 0.5000 K
0.5000 0.5000 0.0000 K
0.0000 0.5000 0.0000 Rb
0.0000 0.5000 0.5000 Rb
0.5000 0.5000 0.5000 In
0.0000 0.0000 0.0000 In
0.2597 0.7588 0.0093 F
0.7412 0.2403 0.4907 F
0.2588 0.7597 0.5093 F
0.7403 0.2412 0.9907 F
0.7452 0.7552 0.0085 F
0.7448 0.7548 0.4915 F
0.2552 0.2452 0.5085 F
0.2548 0.2448 0.9915 F
```

Calculated values
The value obtained for the formation energy (no corrections) is -2.4164 eV/atom.

=====

An optimized crystal structure of TmPuCd, computed with GGA-PBE.

```
TmPuCd
1.0
3.3235 0.0000 0.0000
0.0000 3.3235 0.0000
0.0000 0.0000 12.2682
Pu Tm Cd
2 2 2
Direct
0.0000 0.5000 0.5331 Pu
0.5000 0.0000 0.4669 Pu
0.0000 0.5000 0.2642 Tm
0.5000 0.0000 0.7358 Tm
0.5000 0.0000 0.0807 Cd
0.0000 0.5000 0.9193 Cd
```

Calculated values
As for the energy above the lowest structure with this stoichiometry: 39 meV per atom.

=====

An optimized crystal structure of LiSc2Ga3, computed with GGA-PBE.

```
LiSc2Ga3
1.0
-3.2220 -4.3824 0.1448
4.4497 -1.3805 -2.8110
2.7334 0.6321 7.7364
Li Sc Ga
2 4 6
Direct
0.6682 0.6682 0.3363 Li
0.3318 0.3318 0.6637 Li
0.2500 0.7500 0.5000 Sc
0.7487 0.7487 0.0000 Sc
0.7500 0.2500 0.5000 Sc
0.2513 0.2513 0.0000 Sc
0.3381 0.8323 0.1704 Ga
0.1677 0.6619 0.8296 Ga
0.6619 0.1677 0.8296 Ga
0.8323 0.3381 0.1704 Ga
0.1685 0.1685 0.3370 Ga
0.8315 0.8315 0.6630 Ga
```

Calculated values
The uncorrected energy is -53.40 eV for the cell shown.

=====

An optimized crystal structure of CeDy5Tm2, computed with GGA-PBE.

```
CeDy5Tm2
1.0
4.9820 0.0000 0.0000
0.0000 7.0549 0.0000
0.0000 0.0000 14.1119
Ce Dy Tm
2 10 4
Direct
0.0000 0.0000 0.5000 Ce
0.0000 0.5000 0.0000 Ce
0.0000 0.0000 0.0000 Dy
0.0000 0.5000 0.5000 Dy
0.0000 0.4983 0.7499 Dy
0.0000 0.5017 0.2501 Dy
0.0000 0.0017 0.2499 Dy
0.0000 0.9983 0.7501 Dy
0.5000 0.2526 0.8760 Dy
0.5000 0.7474 0.1240 Dy
0.5000 0.2474 0.3760 Dy
0.5000 0.7526 0.6240 Dy
0.5000 0.2452 0.6239 Tm
0.5000 0.7548 0.3761 Tm
0.5000 0.2548 0.1239 Tm
0.5000 0.7452 0.8761 Tm
```

Calculated values
The uncorrected energy is -75.11 eV for the cell shown.

=====

An optimized crystal structure of Ho6ScTl2, computed with GGA-PBE.

```
Ho6ScTl2
1.0
3.6243 0.0000 0.5754
1.5763 6.1072 1.7733
0.0020 0.0593 11.6888
Ho Sc Tl
6 1 2
Direct
0.6753 0.5281 0.1214 Ho
0.3247 0.4719 0.8786 Ho
0.3092 0.7914 0.5903 Ho
0.9801 0.6944 0.3455 Ho
0.0199 0.3056 0.6545 Ho
0.6908 0.2086 0.4097 Ho
0.0000 0.0000 0.0000 Sc
0.3619 0.0874 0.1888 Tl
0.6381 0.9126 0.8112 Tl
```

Calculated values
As for the energy above the lowest structure with this stoichiometry: 0 meV per atom.

=====

An optimized crystal structure of MgTe, computed with GGA-PBE.

```
MgTe
1.0
3.6031 -6.2408 0.0000
3.6031 6.2408 0.0000
0.0000 0.0000 3.9451
Mg Te
3 3
Direct
0.0000 0.3848 0.0000 Mg
0.6152 0.6152 0.0000 Mg
0.3848 0.0000 0.0000 Mg
0.0000 0.0000 0.0000 Te
0.6667 0.3333 0.5000 Te
0.3333 0.6667 0.5000 Te
```

Calculated values
The value obtained for the formation energy (no corrections) is -0.6762 eV/atom.

=====

An optimized crystal structure of Hf8GeAs2, computed with GGA-PBE.

```
Hf8GeAs2
1.0
5.1181 -0.0806 -0.1210
-0.9635 7.0386 -0.0986
-0.9635 -2.8019 6.4577
Hf Ge As
8 1 2
Direct
0.8885 0.9210 0.6771 Hf
0.8885 0.6771 0.9210 Hf
0.3247 0.6193 0.6193 Hf
0.5000 0.7585 0.2415 Hf
0.5000 0.2415 0.7585 Hf
0.6753 0.3807 0.3807 Hf
0.1115 0.3229 0.0790 Hf
0.1115 0.0790 0.3229 Hf
0.5000 0.0000 0.0000 Ge
0.0000 0.3141 0.6859 As
0.0000 0.6859 0.3141 As
```

Calculated values
The uncorrected energy is -97.28 eV for the cell shown.

=====

An optimized crystal structure of BaCaCd2, computed with GGA-PBE.

```
BaCaCd2
1.0
5.4521 0.0000 0.0000
0.0000 5.4521 0.0000
2.7260 2.7260 10.9779
Ca Ba Cd
2 2 4
Direct
0.5000 0.5000 0.0000 Ca
0.2500 0.7500 0.5000 Ca
0.0000 0.0000 0.0000 Ba
0.7500 0.2500 0.5000 Ba
0.5017 0.1250 0.2500 Cd
0.2483 0.6250 0.2500 Cd
0.3750 0.4983 0.7500 Cd
0.8750 0.7517 0.7500 Cd
```

Calculated values
The uncorrected energy is -11.31 eV for the cell shown.

=====

An optimized crystal structure of NdHo2Ru9, computed with GGA-PBE.

```
NdHo2Ru9
1.0
5.0799 0.0000 1.5119
2.3150 4.5218 1.5119
0.0276 0.0169 9.1976
Nd Ho Ru
1 2 9
Direct
0.0000 0.0000 0.0000 Nd
0.8602 0.8602 0.4193 Ho
0.1398 0.1398 0.5807 Ho
0.6614 0.6614 0.0158 Ru
0.3386 0.3386 0.9842 Ru
0.5000 0.5000 0.5000 Ru
0.4106 0.4106 0.2506 Ru
0.9281 0.4106 0.2506 Ru
0.4106 0.9281 0.2506 Ru
0.5894 0.5894 0.7494 Ru
0.5894 0.0719 0.7494 Ru
0.0719 0.5894 0.7494 Ru
```

Calculated values
The uncorrected energy is -98.84 eV for the cell shown.

=====

An optimized crystal structure of ThTl2AgSe4, computed with GGA-PBE.

```
ThTl2AgSe4
1.0
-2.7272 -0.7989 -3.0776
5.0046 -5.9561 -2.8888
-1.5495 -6.4547 3.0484
Th Tl Ag Se
1 2 1 4
Direct
0.0000 0.5000 0.5000 Th
0.0000 0.0000 0.0000 Tl
0.5000 0.0000 0.5000 Tl
0.5000 0.5000 0.0000 Ag
0.0000 0.6893 0.7825 Se
0.0000 0.3107 0.2175 Se
0.5000 0.7263 0.2810 Se
0.5000 0.2737 0.7190 Se
```

Calculated values
The value obtained for the formation energy (no corrections) is -0.7825 eV/atom.

=====

An optimized crystal structure of SrZn2Ir2, computed with GGA-PBE.

```
SrZn2Ir2
1.0
-5.1724 3.0165 -0.4213
1.2312 -3.7963 4.4835
4.6234 5.4390 1.5187
Sr Zn Ir
2 4 4
Direct
0.8748 0.6252 0.7500 Sr
0.1252 0.3748 0.2500 Sr
0.1734 0.3266 0.7500 Zn
0.4238 0.0762 0.2500 Zn
0.5762 0.9238 0.7500 Zn
0.8266 0.6734 0.2500 Zn
0.2705 0.0209 0.5412 Ir
0.5209 0.7705 0.0412 Ir
0.7295 0.9791 0.4588 Ir
0.4791 0.2295 0.9588 Ir
```

Calculated values
As for the energy above the lowest structure with this stoichiometry: 86 meV per atom.

=====

An optimized crystal structure of CrCd2W, computed with GGA-PBE.

```
CrCd2W
1.0
-1.7414 -3.0464 -3.3469
0.9451 -2.8381 -3.8166
0.8601 -4.4407 2.9503
Cd Cr W
2 1 1
Direct
0.9999 0.9999 0.9964 Cd
0.7522 0.7522 0.7557 Cd
0.4965 0.4965 0.4659 Cr
0.2513 0.2513 0.2820 W
```

Calculated values
As for the energy above the lowest structure with this stoichiometry: 281 meV per atom.

=====

An optimized crystal structure of SrZnInB2, computed with GGA-PBE.

```
SrZnInB2
1.0
-2.2416 -4.3743 -1.2376
2.7546 0.2641 -5.9227
4.0131 -2.5524 1.7527
Sr Zn B In
1 1 2 1
Direct
0.0000 0.0000 0.0000 Sr
0.5000 0.5000 0.5000 Zn
0.0000 0.0000 0.5000 B
0.5000 0.0000 0.0000 B
0.0000 0.5000 0.0000 In
```

Calculated values
The uncorrected energy is -8.46 eV for the cell shown.

=====

An optimized crystal structure of Si2IrAu, computed with GGA-PBE.

```
Si2IrAu
1.0
5.6098 0.0000 0.0000
0.0000 5.6098 0.0000
2.8049 2.8049 5.2791
Si Ir Au
4 2 2
Direct
0.5999 0.1250 0.2500 Si
0.1501 0.6250 0.2500 Si
0.3750 0.4001 0.7500 Si
0.8750 0.8499 0.7500 Si
0.5000 0.5000 0.0000 Ir
0.2500 0.7500 0.5000 Ir
0.0000 0.0000 0.0000 Au
0.7500 0.2500 0.5000 Au
```

Calculated values
The value obtained for the formation energy (no corrections) is -0.0136 eV/atom. As for the energy above the lowest structure with this stoichiometry: 197 meV per atom.

=====

An optimized crystal structure of Ac2Ta2N5, computed with GGA-PBE.

```
Ac2Ta2N5
1.0
4.1341 0.0000 0.0000
0.0000 4.1341 0.0000
0.0000 0.0000 8.0396
Ac Ta N
2 2 5
Direct
0.0000 0.0000 0.0000 Ac
0.0000 0.0000 0.5000 Ac
0.5000 0.5000 0.2552 Ta
0.5000 0.5000 0.7448 Ta
0.5000 0.0000 0.2238 N
0.5000 0.0000 0.7762 N
0.5000 0.5000 0.5000 N
0.0000 0.5000 0.2238 N
0.0000 0.5000 0.7762 N
```

Calculated values
The value obtained for the formation energy (no corrections) is -1.2864 eV/atom. As for the energy above the lowest structure with this stoichiometry: 0 meV per atom.

=====

An optimized crystal structure of CoTcIr2, computed with GGA-PBE.

```
CoTcIr2
1.0
8.7392 -0.0177 -0.0104
8.3199 2.6746 -0.0104
8.3199 1.2958 2.3398
Co Ir Tc
1 2 1
Direct
0.7500 0.7500 0.7500 Co
0.0018 0.0018 0.0018 Ir
0.4982 0.4982 0.4982 Ir
0.2500 0.2500 0.2500 Tc
```

Calculated values
As for the energy above the lowest structure with this stoichiometry: 74 meV per atom.

=====

An optimized crystal structure of InBrF, computed with GGA-PBE.

```
InBrF
1.0
-1.7917 2.3161 -4.1648
-1.4769 -3.4756 -1.2975
-2.2350 2.3886 2.2898
F Br In
1 1 1
Direct
0.2020 0.0000 0.0000 F
0.7182 0.3333 0.6667 Br
0.0798 0.6667 0.3333 In
```

Calculated values
The value obtained for the formation energy (no corrections) is -1.2289 eV/atom.

=====

An optimized crystal structure of La2Pr6Zn, computed with GGA-PBE.

```
La2Pr6Zn
1.0
3.6235 0.0000 0.3066
0.0000 9.8112 0.0000
-0.7564 -4.9056 8.8520
La Pr Zn
2 6 1
Direct
0.4994 0.6702 0.3404 La
0.5006 0.3298 0.6596 La
0.0007 0.3328 0.3262 Pr
0.9993 0.0066 0.6738 Pr
0.9993 0.6672 0.6738 Pr
0.5000 0.2728 0.0000 Pr
0.0007 0.9934 0.3262 Pr
0.5000 0.7272 0.0000 Pr
0.0000 0.0000 0.0000 Zn
```

Calculated values
As for the energy above the lowest structure with this stoichiometry: 121 meV per atom.

=====

An optimized crystal structure of NpPaC, computed with GGA-PBE.

```
NpPaC
1.0
4.1915 0.0000 0.0000
2.0957 3.6299 0.0000
2.0957 1.2100 3.4223
Np C Pa
1 1 1
Direct
0.0000 0.0000 0.0000 Np
0.2500 0.2500 0.2500 C
0.5000 0.5000 0.5000 Pa
```

Calculated values
As for the energy above the lowest structure with this stoichiometry: 404 meV per atom.

=====

An optimized crystal structure of CuMo5, computed with GGA-PBE.

```
CuMo5
1.0
-1.3602 0.0343 5.0661
0.7192 -4.5596 -2.4919
4.2851 0.0473 1.1502
Cu Mo
1 5
Direct
0.0000 0.0000 0.0000 Cu
0.0000 0.5000 0.5000 Mo
0.3333 0.6667 0.0000 Mo
0.5000 0.0000 0.5000 Mo
0.5000 0.5000 0.5000 Mo
0.6667 0.3333 0.0000 Mo
```

Calculated values
As for the energy above the lowest structure with this stoichiometry: 564 meV per atom.